Entry 1:
Material: YCdNF2
Method: DFT, PBE-GGA
State: optimized geometry

Properties
As for the energy above the most stable polymorph in this dataset: 0.573 eV/atom. As for the space group: No. 123.

Unit cell a=4.192 b=4.192 c=4.568 alpha=90.00 beta=90.00 gamma=90.00
Sites, in units of the cell vectors:
Y 0.000 0.000 0.000
Cd 0.500 0.500 0.500
N 0.500 0.500 0.000
F 0.000 0.500 0.500
F 0.500 0.000 0.500

=====

Entry 2:
Material: Nd4Al12Cu
Method: DFT, PBE-GGA
State: optimized geometry

Properties
As for the formation enthalpy at 0 K: -0.4133 eV per atom. As for the space group: No. 229.

Unit cell a=7.635 b=7.635 c=7.635 alpha=109.47 beta=109.47 gamma=109.47
Sites, in units of the cell vectors:
Nd 0.000 0.000 0.500
Nd 0.000 0.500 0.000
Nd 0.500 0.000 0.000
Nd 0.500 0.500 0.500
Al 0.000 0.294 0.294
Al 0.000 0.706 0.706
Al 0.250 0.500 0.750
Al 0.250 0.750 0.500
Al 0.294 0.000 0.294
Al 0.294 0.294 0.000
Al 0.500 0.250 0.750
Al 0.500 0.750 0.250
Al 0.706 0.000 0.706
Al 0.706 0.706 0.000
Al 0.750 0.250 0.500
Al 0.750 0.500 0.250
Cu 0.000 0.000 0.000

=====

Entry 3:
Material: Al2Co2S
Method: DFT, PBE-GGA
State: optimized geometry

Properties
As for the energy above the most stable polymorph in this dataset: 0.317 eV/atom. As for the space group: No. 139.

Unit cell a=6.201 b=6.201 c=6.201 alpha=146.78 beta=146.78 gamma=47.69
Sites, in units of the cell vectors:
Al 0.250 0.750 0.500
Al 0.750 0.250 0.500
Co 0.104 0.104 0.000
Co 0.896 0.896 0.000
S 0.500 0.500 0.000

=====

Entry 4:
Material: KTc2Rh
Method: DFT, PBE-GGA
State: optimized geometry

Properties
As for the formation enthalpy at 0 K: 0.7414 eV per atom. As for the energy above the most stable polymorph in this dataset: 0.178 eV/atom. As for the space group: No. 166.

Unit cell a=10.567 b=10.567 c=10.567 alpha=15.10 beta=15.10 gamma=15.10
Sites, in units of the cell vectors:
K 0.000 0.000 0.000
Tc 0.236 0.236 0.236
Tc 0.764 0.764 0.764
Rh 0.500 0.500 0.500

=====

Entry 5:
Material: Be2NbIr
Method: DFT, PBE-GGA
State: optimized geometry

Properties
As for the formation enthalpy at 0 K: -0.3926 eV per atom. As for the space group: No. 62.

Unit cell a=6.062 b=3.563 c=9.161 alpha=90.00 beta=90.00 gamma=90.00
Sites, in units of the cell vectors:
Be 0.073 0.250 0.151
Be 0.185 0.750 0.035
Be 0.315 0.250 0.535
Be 0.427 0.750 0.651
Be 0.573 0.250 0.349
Be 0.685 0.750 0.465
Be 0.815 0.250 0.965
Be 0.927 0.750 0.849
Nb 0.234 0.250 0.819
Nb 0.266 0.750 0.319
Nb 0.734 0.250 0.681
Nb 0.766 0.750 0.181
Ir 0.055 0.750 0.603
Ir 0.445 0.250 0.103
Ir 0.555 0.750 0.897
Ir 0.945 0.250 0.397

=====

Entry 6:
Material: AlP2W
Method: DFT, PBE-GGA
State: optimized geometry

Properties
As for the formation enthalpy at 0 K: -0.0647 eV per atom. As for the space group: No. 123.

Unit cell a=3.121 b=3.121 c=5.916 alpha=90.00 beta=90.00 gamma=90.00
Sites, in units of the cell vectors:
Al 0.000 0.000 0.000
P 0.500 0.500 0.271
P 0.500 0.500 0.729
W 0.000 0.000 0.500